Record 1
## ZnReBAu2 (SCAN)

Data for a crystal of ZnReBAu2 relaxed with PBEsol.

Results
VASP energy = -43.918 eV per atom
V = 19.43 A^3/atom
Calculated formation energy = 2.15 eV/atom
Total magnetization = 2.0 μB/f.u.
Space group = P4/mmm, No. 123
ρ = 11.216 g/cm3

Geometry as POSCAR:
```
ZnReBAu2
1.0
4.5615 0.0000 0.0000
0.0000 4.5615 0.0000
0.0000 0.0000 4.6703
Zn Re B Au
1 1 1 2
Direct
0.0000 0.0000 0.0000
0.0000 0.0000 0.5000
0.5000 0.5000 0.5000
0.0000 0.5000 0.0000
0.5000 0.0000 0.0000
```

Record 2
## SrTcRu2 (SCAN)

Data for a crystal of SrTcRu2 relaxed with PBEsol.

Results
VASP energy = -31.097 eV per atom
Distance to the lowest polymorph of the same formula = 0.59 eV per formula unit
V = 18.26 A^3/atom
Calculated formation energy = 0.65 eV/atom
Total magnetization = 0.0 μB/f.u.
Space group = Pm, No. 6
ρ = 8.814 g/cm3

Geometry as POSCAR:
```
SrTcRu2
1.0
2.8715 0.0000 0.0000
0.0000 4.2252 0.0000
-1.4281 0.0000 6.0210
Sr Tc Ru
1 1 2
Direct
0.0000 0.0000 0.0000
0.6627 0.5000 0.3253
0.3364 0.5000 0.6762
0.7494 0.0000 0.5016
```